Zr2TiPtSe: optimized geometry, GGA-PBE.

a b c (Å): 5.1080 4.4873 5.1080
angles (deg): 90.00 90.00 90.00
Positions (direct):
Ti (0.0000, 0.0000, 0.0000)
Zr (0.5000, 0.0000, 0.0000)
Zr (0.0000, 0.0000, 0.5000)
Pt (0.0000, 0.5000, 0.0000)
Se (0.5000, 0.5000, 0.5000)

Values from the calculation:
Formation energy (no corrections) = 9.96 kcal/mol of atoms

=====

TlTcOsRu2: optimized geometry, GGA-PBE.

a b c (Å): 4.7866 4.8496 4.7866
angles (deg): 90.00 90.00 90.00
Each line ends with the local moment (μB).
Positions (direct):
Ru (0.5000, 0.0000, 0.0000)  -0.33
Tc (0.0000, 0.5000, 0.0000)  0.50
Tl (0.0000, 0.0000, 0.0000)  0.00
Ru (0.0000, 0.0000, 0.5000)  -0.31
Os (0.5000, 0.5000, 0.5000)  2.15

Values from the calculation:
Energy = -26.9 eV for the cell shown

=====

HfVBiPd2: optimized geometry, GGA-PBE.

a b c (Å): 4.7015 4.8914 4.7015
angles (deg): 90.00 90.00 90.00
Each line ends with the local moment (μB).
Positions (direct):
Bi (0.5000, 0.5000, 0.5000)  0.00
Pd (0.5000, 0.0000, 0.0000)  0.04
Pd (0.0000, 0.0000, 0.5000)  0.01
V (0.0000, 0.0000, 0.0000)  0.58
Hf (0.0000, 0.5000, 0.0000)  0.02

Values from the calculation:
Energy = -30.7 eV for the cell shown

=====

TbEuCdSn: optimized geometry, GGA-PBE.

a b c (Å): 5.4184 5.4184 5.4184
angles (deg): 60.00 60.00 60.00
Each line ends with the local moment (μB).
Positions (direct):
Cd (0.7500, 0.7500, 0.7500)  0.03
Sn (0.2500, 0.2500, 0.2500)  -0.04
Eu (0.5000, 0.5000, 0.5000)  6.87
Tb (0.0000, 0.0000, 0.0000)  0.21

Values from the calculation:
Energy = -21.9 eV for the cell shown

=====

Total magnetization (μB per formula unit)
0.000; 2.122; 0.708; 7.554